[1]
Below is a relaxed structure of Rb8Na2Tl, with properties calculated at the GGA-PBE level.

Cell and atoms, written as POSCAR:
```
Rb8Na2Tl
1.0
-4.1499 -5.6193 -0.3432
2.0616 -0.9715 -9.0219
10.8095 -3.9135 4.6354
Rb Tl Na
8 1 2
Direct
0.5860 0.3920 0.1720 Rb
0.4140 0.6080 0.8280 Rb
0.3409 0.0748 0.6818 Rb
0.2169 0.6389 0.4338 Rb
0.7831 0.3611 0.5662 Rb
0.6591 0.9252 0.3182 Rb
0.0266 0.7888 0.0533 Rb
0.9734 0.2112 0.9467 Rb
0.5000 0.0000 0.0000 Tl
0.8410 0.8163 0.6820 Na
0.1590 0.1837 0.3180 Na
```

Properties
N(E_F): 0.759 states/eV/atom
ΔE_f: 0.02 eV/atom
magnetization: 0.0 Bohr magnetons per cell
ρ: 2.0 g/cm³

=====

[2]
Below is a relaxed structure of Rb2NaTl2, with properties calculated at the GGA-PBE level.

Cell and atoms, written as POSCAR:
```
Rb2NaTl2
1.0
5.4642 0.0000 0.0000
0.0000 5.4642 0.0000
2.7321 2.7321 8.2531
Rb Tl Na
2 2 1
Direct
0.7500 0.2500 0.5000 Rb
0.2500 0.7500 0.5000 Rb
0.4110 0.4110 0.1780 Tl
0.5890 0.5890 0.8220 Tl
0.0000 0.0000 0.0000 Na
```

Properties
N(E_F): 0.746 states/eV/atom
ΔE_f: 0.12 eV/atom
magnetization: 0.0 Bohr magnetons per cell
polymorph energy (0 for the lowest one): 0.154 eV/atom
ρ: 4.1 g/cm³

=====

[3]
Below is a relaxed structure of Rb3Na6Tl, with properties calculated at the GGA-PBE level.

Cell and atoms, written as POSCAR:
```
Rb3Na6Tl
1.0
-6.8061 2.4732 7.2066
1.1297 -7.6573 6.6682
5.9463 4.2796 7.1205
Rb Na Tl
6 12 2
Direct
0.1549 0.1549 0.5441 Rb
0.5441 0.1549 0.1549 Rb
0.8451 0.4559 0.8451 Rb
0.8451 0.8451 0.4559 Rb
0.1549 0.5441 0.1549 Rb
0.4559 0.8451 0.8451 Rb
0.5552 0.5553 0.1842 Na
0.4448 0.4447 0.8158 Na
0.9192 0.2124 0.2124 Na
0.8158 0.4448 0.4447 Na
0.0808 0.7876 0.7876 Na
0.7876 0.0808 0.7876 Na
0.1842 0.5552 0.5553 Na
0.7876 0.7876 0.0808 Na
0.2124 0.2124 0.9192 Na
0.4447 0.8158 0.4448 Na
0.2124 0.9192 0.2124 Na
0.5553 0.1842 0.5552 Na
0.0000 0.0000 0.0000 Tl
0.5000 0.5000 0.5000 Tl
```

Properties
N(E_F): 0.420 states/eV/atom
ΔE_f: 0.02 eV/atom
magnetization: 0.0 Bohr magnetons per cell
ρ: 2.0 g/cm³

=====

[4]
Below is a relaxed structure of Rb2Na6Tl9, with properties calculated at the GGA-PBE level.

Cell and atoms, written as POSCAR:
```
Rb2Na6Tl9
1.0
-0.1237 6.4408 -1.3771
-5.4251 -2.9953 2.2345
4.5376 3.4239 15.6061
Tl Rb Na
9 2 6
Direct
0.0000 0.5000 0.5000 Tl
0.5000 0.5000 0.8313 Tl
0.5000 0.0000 0.5000 Tl
0.0000 0.5000 0.1687 Tl
0.5000 0.0000 0.8313 Tl
0.5000 0.0000 0.1687 Tl
0.5000 0.5000 0.1687 Tl
0.0000 0.5000 0.8313 Tl
0.5000 0.5000 0.5000 Tl
0.0000 0.0000 0.3397 Rb
0.0000 0.0000 0.6603 Rb
0.3333 0.6667 0.6657 Na
0.6667 0.3333 0.0000 Na
0.6667 0.3333 0.6657 Na
0.3333 0.6667 0.3343 Na
0.6667 0.3333 0.3343 Na
0.3333 0.6667 0.0000 Na
```

Properties
N(E_F): 0.636 states/eV/atom
ΔE_f: -0.01 eV/atom
magnetization: 0.0 Bohr magnetons per cell
ρ: 5.7 g/cm³

=====

[5]
Below is a relaxed structure of RbNa2Tl10, with properties calculated at the GGA-PBE level.

Cell and atoms, written as POSCAR:
```
RbNa2Tl10
1.0
6.6180 0.0234 0.0072
3.3372 7.9584 0.0042
3.3176 0.0123 7.9456
Na Tl Rb
2 10 1
Direct
0.0000 0.5000 0.0000 Na
0.5000 0.5000 0.0000 Na
0.2794 0.2220 0.2198 Tl
0.5014 0.7775 0.2199 Tl
0.9953 0.3582 0.6444 Tl
0.0047 0.6418 0.3556 Tl
0.5000 0.0000 0.5000 Tl
0.7206 0.7780 0.7802 Tl
0.3607 0.6420 0.6440 Tl
0.0000 0.0000 0.5000 Tl
0.6393 0.3580 0.3560 Tl
0.4986 0.2225 0.7801 Tl
0.0000 0.0000 0.0000 Rb
```

Properties
N(E_F): 0.629 states/eV/atom
ΔE_f: -0.04 eV/atom
magnetization: 0.0 Bohr magnetons per cell
ρ: 8.6 g/cm³

=====

[6]
Below is a relaxed structure of RbNa7Tl12, with properties calculated at the GGA-PBE level.

Cell and atoms, written as POSCAR:
```
RbNa7Tl12
1.0
7.8673 0.0000 -2.1734
-3.8837 8.2040 -3.8411
-0.0999 0.0000 9.8556
Tl Na Rb
12 7 1
Direct
0.2666 0.5331 0.2666 Tl
0.0000 0.2666 0.7334 Tl
0.3973 0.3408 0.0000 Tl
0.9435 0.3408 0.3408 Tl
0.7334 0.7334 0.4669 Tl
0.0000 0.7334 0.2666 Tl
0.6027 0.0000 0.6592 Tl
0.2666 0.2666 0.5331 Tl
0.3973 0.0000 0.3408 Tl
0.6027 0.6592 0.0000 Tl
0.0565 0.6592 0.6592 Tl
0.7334 0.4669 0.7334 Tl
0.4483 0.6534 0.6534 Na
0.2051 0.0000 0.6534 Na
0.5000 0.0000 0.0000 Na
0.7949 0.0000 0.3466 Na
0.5517 0.3466 0.3466 Na
0.2051 0.6534 0.0000 Na
0.7949 0.3466 0.0000 Na
0.0000 0.0000 0.0000 Rb
```

Properties
N(E_F): 0.572 states/eV/atom
ΔE_f: -0.05 eV/atom
magnetization: 0.0 Bohr magnetons per cell
ρ: 7.1 g/cm³

=====

> Look up the N(E_F) of the fifth one.

0.629 states/eV/atom